# Cs3Rb3Na2 | Alexandria | PBE | optimized geometry
data_Cs3Rb3Na2
_space_group_name_H-M_alt 'P -1'
_space_group_IT_number 2
_space_group_name_Hall '-P 1'
_cell_length_a 7.220
_cell_length_b 7.327
_cell_length_c 13.717
_cell_angle_alpha 105.31
_cell_angle_beta 105.21
_cell_angle_gamma 90.09
loop_
_atom_site_label
_atom_site_type_symbol
_atom_site_fract_x
_atom_site_fract_y
_atom_site_fract_z
Cs1 Cs 0.000 0.000 0.000
Cs2 Cs 0.150 0.648 0.298
Rb1 Rb 0.346 0.844 0.693
Rb2 Rb 0.500 0.500 0.000
Na1 Na 0.249 0.244 0.498
# **Energy of formation from the pure elements**: 0.02 eV per atom
# **Spin magnetization**: 0.00 μB per cell
# **Calculated density**: 1.7 g/cm3
# **Energy above the lowest structure with this stoichiometry**: 0 meV/atom


# CsRb2Na4 | Alexandria | PBE | optimized geometry
data_CsRb2Na4
_space_group_name_H-M_alt 'I 4/m m m'
_space_group_IT_number 139
_space_group_name_Hall '-I 4 2'
_cell_length_a 7.285
_cell_length_b 7.285
_cell_length_c 21.562
_cell_angle_alpha 90.00
_cell_angle_beta 90.00
_cell_angle_gamma 90.00
loop_
_atom_site_label
_atom_site_type_symbol
_atom_site_fract_x
_atom_site_fract_y
_atom_site_fract_z
Cs1 Cs 0.000 0.000 0.000
Rb1 Rb 0.000 0.000 0.382
Na1 Na 0.000 0.000 0.194
Na2 Na 0.000 0.500 0.000
# **Energy of formation from the pure elements**: 0.28 eV per atom
# **Spin magnetization**: 0.00 μB per cell
# **Calculated density**: 1.1 g/cm3
# **Energy above the lowest structure with this stoichiometry**: 237 meV/atom


# Cs5Rb3Na6 | Alexandria | PBE | optimized geometry
data_Cs5Rb3Na6
_space_group_name_H-M_alt 'I m m m'
_space_group_IT_number 71
_space_group_name_Hall '-I 2 2'
_cell_length_a 6.787
_cell_length_b 16.540
_cell_length_c 19.010
_cell_angle_alpha 90.00
_cell_angle_beta 90.00
_cell_angle_gamma 90.00
loop_
_atom_site_label
_atom_site_type_symbol
_atom_site_fract_x
_atom_site_fract_y
_atom_site_fract_z
Cs1 Cs 0.000 0.000 0.000
Cs2 Cs 0.000 0.154 0.322
Rb1 Rb 0.000 0.500 0.000
Rb2 Rb 0.000 0.500 0.325
Na1 Na 0.000 0.226 0.092
Na2 Na 0.000 0.321 0.500
# **Energy of formation from the pure elements**: 0.05 eV per atom
# **Spin magnetization**: 0.00 μB per cell
# **Calculated density**: 1.6 g/cm3


# Cs6Rb2Na | Alexandria | PBE | optimized geometry
data_Cs6Rb2Na
_space_group_name_H-M_alt 'C 1 2/m 1'
_space_group_IT_number 12
_space_group_name_Hall '-C 2y'
_cell_length_a 16.735
_cell_length_b 7.888
_cell_length_c 15.089
_cell_angle_alpha 90.00
_cell_angle_beta 116.41
_cell_angle_gamma 90.00
loop_
_atom_site_label
_atom_site_type_symbol
_atom_site_fract_x
_atom_site_fract_y
_atom_site_fract_z
Cs1 Cs 0.008 0.000 0.182
Cs2 Cs 0.132 0.500 0.693
Cs3 Cs 0.201 0.500 0.390
Rb1 Rb 0.167 0.500 0.047
Na1 Na 0.000 0.000 0.500
# **Energy of formation from the pure elements**: 0.02 eV per atom
# **Spin magnetization**: 0.00 μB per cell
# **Calculated density**: 1.8 g/cm3


# Cs3RbNa | Alexandria | PBE | optimized geometry
data_Cs3RbNa
_space_group_name_H-M_alt 'P 1 21/c 1'
_space_group_IT_number 14
_space_group_name_Hall '-P 2ybc'
_cell_length_a 11.807
_cell_length_b 10.534
_cell_length_c 15.363
_cell_angle_alpha 90.00
_cell_angle_beta 104.07
_cell_angle_gamma 90.00
loop_
_atom_site_label
_atom_site_type_symbol
_atom_site_fract_x
_atom_site_fract_y
_atom_site_fract_z
Cs1 Cs 0.108 0.159 0.414
Cs2 Cs 0.228 0.527 0.646
Cs3 Cs 0.301 0.026 0.737
Rb1 Rb 0.453 0.719 0.979
Na1 Na 0.079 0.739 0.372
# **Energy of formation from the pure elements**: 0.02 eV per atom
# **Spin magnetization**: 0.00 μB per cell
# **Calculated density**: 1.8 g/cm3
# **Energy above the lowest structure with this stoichiometry**: 0 meV/atom


# Cs7Rb6Na | Alexandria | PBE | optimized geometry
data_Cs7Rb6Na
_space_group_name_H-M_alt 'R 3'
_space_group_IT_number 146
_space_group_name_Hall 'R 3'
_cell_length_a 13.6972
_cell_length_b 13.6972
_cell_length_c 25.3288
_cell_angle_alpha 90.00
_cell_angle_beta 90.00
_cell_angle_gamma 120.00
loop_
_atom_site_label
_atom_site_type_symbol
_atom_site_fract_x
_atom_site_fract_y
_atom_site_fract_z
Cs1 Cs 0.0000 0.0000 0.0000
Cs2 Cs 0.0517 0.2555 0.1731
Cs3 Cs 0.1453 0.7104 0.0124
Rb1 Rb 0.0558 0.2269 0.6657
Rb2 Rb 0.1444 0.7192 0.5027
Na1 Na 0.0000 0.0000 0.5105
# **Energy of formation from the pure elements**: 0.02 eV per atom
# **Spin magnetization**: 0.00 μB per cell
# **Calculated density**: 1.8 g/cm3


# Cs6Rb7Na | Alexandria | PBE | optimized geometry
data_Cs6Rb7Na
_space_group_name_H-M_alt 'I b a m'
_space_group_IT_number 72
_space_group_name_Hall '-I 2 2c'
_cell_length_a 9.409
_cell_length_b 34.521
_cell_length_c 17.032
_cell_angle_alpha 90.00
_cell_angle_beta 90.00
_cell_angle_gamma 90.00
loop_
_atom_site_label
_atom_site_type_symbol
_atom_site_fract_x
_atom_site_fract_y
_atom_site_fract_z
Cs1 Cs 0.207 0.125 0.000
Cs2 Cs 0.229 0.378 0.175
Rb1 Rb 0.000 0.000 0.250
Rb2 Rb 0.093 0.254 0.371
Rb3 Rb 0.237 0.491 0.000
Na1 Na 0.000 0.500 0.250
# **Energy of formation from the pure elements**: 0.04 eV per atom
# **Spin magnetization**: 0.00 μB per cell
# **Calculated density**: 1.7 g/cm3


# Cs4RbNa4 | Alexandria | PBE | optimized geometry
data_Cs4RbNa4
_space_group_name_H-M_alt 'I -4 2 m'
_space_group_IT_number 121
_space_group_name_Hall 'I -4 2'
_cell_length_a 9.250
_cell_length_b 9.250
_cell_length_c 18.220
_cell_angle_alpha 90.00
_cell_angle_beta 90.00
_cell_angle_gamma 90.00
loop_
_atom_site_label
_atom_site_type_symbol
_atom_site_fract_x
_atom_site_fract_y
_atom_site_fract_z
Cs1 Cs 0.210 0.210 0.365
Rb1 Rb 0.000 0.000 0.000
Na1 Na 0.241 0.241 0.130
# **Energy of formation from the pure elements**: 0.12 eV per atom
# **Spin magnetization**: 0.00 μB per cell
# **Calculated density**: 1.5 g/cm3


# CsRb2Na | Alexandria | PBE | optimized geometry
data_CsRb2Na
_space_group_name_H-M_alt 'R -3 m'
_space_group_IT_number 166
_space_group_name_Hall '-R 3 2"'
_cell_length_a 4.8384
_cell_length_b 4.8384
_cell_length_c 50.7200
_cell_angle_alpha 90.00
_cell_angle_beta 90.00
_cell_angle_gamma 120.00
loop_
_atom_site_label
_atom_site_type_symbol
_atom_site_fract_x
_atom_site_fract_y
_atom_site_fract_z
Cs1 Cs 0.0000 0.0000 0.0000
Rb1 Rb 0.0000 0.0000 0.4211
Na1 Na 0.0000 0.0000 0.5000
# **Energy of formation from the pure elements**: 0.12 eV per atom
# **Spin magnetization**: 0.00 μB per cell
# **Calculated density**: 1.6 g/cm3
# **Energy above the lowest structure with this stoichiometry**: 105 meV/atom


# Cs4Rb4Na | Alexandria | PBE | optimized geometry
data_Cs4Rb4Na
_space_group_name_H-M_alt 'I 4/m'
_space_group_IT_number 87
_space_group_name_Hall '-I 4'
_cell_length_a 17.368
_cell_length_b 17.368
_cell_length_c 5.585
_cell_angle_alpha 90.00
_cell_angle_beta 90.00
_cell_angle_gamma 90.00
loop_
_atom_site_label
_atom_site_type_symbol
_atom_site_fract_x
_atom_site_fract_y
_atom_site_fract_z
Cs1 Cs 0.152 0.153 0.000
Rb1 Rb 0.003 0.660 0.500
Na1 Na 0.000 0.000 0.500
# **Energy of formation from the pure elements**: 0.01 eV per atom
# **Spin magnetization**: 0.00 μB per cell
# **Calculated density**: 1.8 g/cm3


# Cs2Rb12Na7 | Alexandria | PBE | optimized geometry
data_Cs2Rb12Na7
_space_group_name_H-M_alt 'P -3'
_space_group_IT_number 147
_space_group_name_Hall '-P 3'
_cell_length_a 19.0150
_cell_length_b 19.0150
_cell_length_c 4.9356
_cell_angle_alpha 90.00
_cell_angle_beta 90.00
_cell_angle_gamma 120.00
loop_
_atom_site_label
_atom_site_type_symbol
_atom_site_fract_x
_atom_site_fract_y
_atom_site_fract_z
Cs1 Cs 0.3333 0.6667 0.2413
Rb1 Rb 0.0708 0.4420 0.7545
Rb2 Rb 0.1222 0.8695 0.2320
Na1 Na 0.0000 0.0000 0.5000
Na2 Na 0.1451 0.6966 0.7366
# **Energy of formation from the pure elements**: 0.04 eV per atom
# **Spin magnetization**: 0.00 μB per cell
# **Calculated density**: 1.6 g/cm3


# Cs2Rb3Na4 | Alexandria | PBE | optimized geometry
data_Cs2Rb3Na4
_space_group_name_H-M_alt 'P 1 21/c 1'
_space_group_IT_number 14
_space_group_name_Hall '-P 2ybc'
_cell_length_a 11.221
_cell_length_b 11.177
_cell_length_c 10.767
_cell_angle_alpha 90.00
_cell_angle_beta 108.40
_cell_angle_gamma 90.00
loop_
_atom_site_label
_atom_site_type_symbol
_atom_site_fract_x
_atom_site_fract_y
_atom_site_fract_z
Cs1 Cs 0.188 0.169 0.063
Rb1 Rb 0.246 0.680 0.248
Rb2 Rb 0.500 0.000 0.500
Na1 Na 0.072 0.533 0.869
Na2 Na 0.488 0.119 0.876
# **Energy of formation from the pure elements**: 0.03 eV per atom
# **Spin magnetization**: 0.00 μB per cell
# **Calculated density**: 1.6 g/cm3